[1]
# Ba3PaPt2O9

Crystalline Ba3PaPt2O9 at its relaxed geometry (GGA-PBE, the Alexandria database).

E_form (uncorrected) ... -2.128 eV per atom
Theoretical density ... 8.576 g/cm³
Magnetic moment ... 0.19 μB/cell

Lattice parameters (Å, degrees): 5.9512 5.9512 7.4316 90.00 90.00 120.00
Space group P-3m1 (No. 164)
Symmetry-distinct sites (fractional):
Ba 0.0000 0.0000 0.0000
Ba 0.3333 0.6667 0.7057
Pa 0.0000 0.0000 0.5000
Pt 0.3333 0.6667 0.1674
O 0.0000 0.5000 0.0000
O 0.1687 0.3375 0.3287

[2]
# Na3AcNp2Se6

Crystalline Na3AcNp2Se6 at its relaxed geometry (GGA-PBE, the Alexandria database).

E_form (uncorrected) ... -1.355 eV per atom
Theoretical density ... 6.118 g/cm³
Magnetic moment ... 16.00 μB/cell

Lattice parameters (Å, degrees): 7.462 12.928 7.432 90.00 109.67 90.00
Space group C2/m (No. 12)
Symmetry-distinct sites (fractional):
Na 0.000 0.000 0.000
Na 0.000 0.334 0.000
Ac 0.000 0.500 0.500
Np 0.000 0.167 0.500
Se 0.229 0.000 0.738
Se 0.246 0.175 0.265

[3]
# KZr2Pb

Crystalline KZr2Pb at its relaxed geometry (GGA-PBE, the Alexandria database).

Energy of formation from the pure elements ... 0.422 eV per atom
ΔE to the lowest computed polymorph ... 1.28 eV/f.u.
Theoretical density ... 6.205 g/cm³
Magnetic moment ... 0.00 μB/cell

Lattice parameters (Å, degrees): 3.362 5.614 12.159 90.00 90.00 90.00
Space group Cmmm (No. 65)
Symmetry-distinct sites (fractional):
K 0.000 0.000 0.000
Zr 0.000 0.500 0.287
Pb 0.000 0.000 0.500